Entry 1:
Ba2IrOsPb: optimized geometry, PBE.

Results
DFT total energy in eV per atom: -5.036

Lattice parameters (Å, degrees): 6.0335 6.0335 4.7706 90.00 90.00 90.00
Space group P4/mmm (No. 123)
Symmetry-distinct sites (fractional):
Ba: 0.0000 0.5000 0.0000 (multiplicity 2)
Ir: 0.0000 0.0000 0.5000 (multiplicity 1)
Os: 0.0000 0.0000 0.0000 (multiplicity 1)
Pb: 0.5000 0.5000 0.5000 (multiplicity 1)

---

Entry 2:
Zn2CuSb: optimized geometry, PBE.

Results
ΔE_f (raw) in eV per atom: 0.2309

Lattice parameters (Å, degrees): 6.6065 6.6065 6.6065 90.00 90.00 90.00
Space group F-43m (No. 216)
Symmetry-distinct sites (fractional):
Zn: 0.0000 0.0000 0.0000 (multiplicity 4)
Zn: 0.2500 0.2500 0.2500 (multiplicity 4)
Cu: 0.0000 0.0000 0.5000 (multiplicity 4)
Sb: 0.2500 0.2500 0.7500 (multiplicity 4)

---

Entry 3:
Sm4Al16Fe3: optimized geometry, PBE.

Results
DFT total energy in eV per atom: -4.928

Lattice parameters (Å, degrees): 6.0784 6.0784 11.3634 90.00 90.00 90.00
Space group P4/mmm (No. 123)
Symmetry-distinct sites (fractional):
Sm: 0.0000 0.5000 0.1925 (multiplicity 4)
Al: 0.0000 0.0000 0.1954 (multiplicity 2)
Al: 0.2242 0.2242 0.0000 (multiplicity 4)
Al: 0.2522 0.2522 0.3871 (multiplicity 8)
Al: 0.5000 0.5000 0.2123 (multiplicity 2)
Fe: 0.0000 0.5000 0.5000 (multiplicity 2)
Fe: 0.5000 0.5000 0.0000 (multiplicity 1)

---

Entry 4:
CoNiTeI2: optimized geometry, PBE.

Results
ΔE_f (raw) in eV per atom: 0.8348
ΔE to the lowest computed polymorph in meV per atom: 0

Lattice parameters (Å, degrees): 5.3816 5.3816 4.7898 90.00 90.00 90.00
Space group P4/mmm (No. 123)
Symmetry-distinct sites (fractional):
Co: 0.0000 0.0000 0.0000 (multiplicity 1)
Ni: 0.5000 0.5000 0.5000 (multiplicity 1)
Te: 0.0000 0.0000 0.5000 (multiplicity 1)
I: 0.0000 0.5000 0.0000 (multiplicity 2)

---

Entry 5:
Zn2CrW: optimized geometry, PBE.

Results
ΔE to the lowest computed polymorph in meV per atom: 260

Lattice parameters (Å, degrees): 4.5895 4.5895 2.8188 90.00 90.00 90.00
Space group P4/mmm (No. 123)
Symmetry-distinct sites (fractional):
Zn: 0.0000 0.5000 0.0000 (multiplicity 2)
Cr: 0.0000 0.0000 0.5000 (multiplicity 1)
W: 0.5000 0.5000 0.5000 (multiplicity 1)

---

Entry 6:
Cr8P2C: optimized geometry, PBE.

Results
DFT total energy in eV per atom: -8.928

Lattice parameters (Å, degrees): 13.1446 3.7920 5.0374 90.00 106.90 90.00
Space group C2/m (No. 12)
Symmetry-distinct sites (fractional):
Cr: 0.0092 0.0000 0.2757 (multiplicity 4)
Cr: 0.0850 0.5000 0.9497 (multiplicity 4)
Cr: 0.1542 0.5000 0.5092 (multiplicity 4)
Cr: 0.2081 0.0000 0.7784 (multiplicity 4)
P: 0.1709 0.0000 0.1966 (multiplicity 4)
C: 0.0000 0.5000 0.5000 (multiplicity 2)

---

Entry 7:
KMgSe: optimized geometry, PBE.

Results
ΔE_f (raw) in eV per atom: -0.7928
ΔE to the lowest computed polymorph in meV per atom: 159

Lattice parameters (Å, degrees): 14.0440 4.0727 7.8596 90.00 111.69 90.00
Space group Cm (No. 8)
Symmetry-distinct sites (fractional):
K: 0.0000 0.0000 0.0000 (multiplicity 2)
K: 0.1803 0.0000 0.5920 (multiplicity 2)
Mg: 0.2866 0.0000 0.1321 (multiplicity 2)
Mg: 0.3924 0.5000 0.4699 (multiplicity 2)
Se: 0.1931 0.5000 0.9568 (multiplicity 2)
Se: 0.4779 0.0000 0.3238 (multiplicity 2)

---

Entry 8:
AcIn4Cu2: optimized geometry, PBE.

Results
DFT total energy in eV per atom: -3.544

Lattice parameters (Å, degrees): 18.7037 4.5726 7.6409 90.00 90.00 90.00
Space group Pnma (No. 62)
Symmetry-distinct sites (fractional):
Ac: 0.1243 0.2500 0.0132 (multiplicity 4)
In: 0.0330 0.7500 0.7652 (multiplicity 4)
In: 0.0875 0.2500 0.5085 (multiplicity 4)
In: 0.1876 0.7500 0.3218 (multiplicity 4)
In: 0.1974 0.7500 0.7134 (multiplicity 4)
Cu: 0.0416 0.7500 0.2961 (multiplicity 4)
Cu: 0.2328 0.2500 0.5229 (multiplicity 4)

---

Entry 9:
LaHPt3: optimized geometry, PBE.

Results
ΔE to the lowest computed polymorph in meV per atom: 2061

Lattice parameters (Å, degrees): 5.3296 5.3296 5.3296 90.00 90.00 90.00
Space group Pm-3m (No. 221)
Symmetry-distinct sites (fractional):
La: 0.0000 0.0000 0.0000 (multiplicity 1)
H: 0.5000 0.5000 0.5000 (multiplicity 1)
Pt: 0.0000 0.0000 0.5000 (multiplicity 3)

---

Entry 10:
Cs2SrWCl6: optimized geometry, PBE.

Results
ΔE_f (raw) in eV per atom: -1.4582

Lattice parameters (Å, degrees): 10.6926 10.6926 10.6926 90.00 90.00 90.00
Space group Fm-3m (No. 225)
Symmetry-distinct sites (fractional):
Cs: 0.2500 0.2500 0.2500 (multiplicity 8)
Sr: 0.0000 0.0000 0.0000 (multiplicity 4)
W: 0.0000 0.0000 0.5000 (multiplicity 4)
Cl: 0.0000 0.0000 0.2676 (multiplicity 24)

---

Entry 11:
Er12Tl3Cd: optimized geometry, PBE.

Results
DFT total energy in eV per atom: -4.071

Lattice parameters (Å, degrees): 4.8088 4.8088 19.2429 90.00 90.00 90.00
Space group P4/mmm (No. 123)
Symmetry-distinct sites (fractional):
Er: 0.0000 0.0000 0.0000 (multiplicity 1)
Er: 0.0000 0.0000 0.2496 (multiplicity 2)
Er: 0.0000 0.0000 0.5000 (multiplicity 1)
Er: 0.0000 0.5000 0.1241 (multiplicity 4)
Er: 0.0000 0.5000 0.3751 (multiplicity 4)
Tl: 0.5000 0.5000 0.2494 (multiplicity 2)
Tl: 0.5000 0.5000 0.5000 (multiplicity 1)
Cd: 0.5000 0.5000 0.0000 (multiplicity 1)

---

Entry 12:
Tb8CoCu2: optimized geometry, PBE.

Results
DFT total energy in eV per atom: -4.851

Lattice parameters (Å, degrees): 17.1505 5.0956 6.6610 90.00 105.61 90.00
Space group C2/m (No. 12)
Symmetry-distinct sites (fractional):
Tb: 0.0322 0.0000 0.2921 (multiplicity 4)
Tb: 0.0887 0.5000 0.9376 (multiplicity 4)
Tb: 0.1633 0.5000 0.4754 (multiplicity 4)
Tb: 0.2005 0.0000 0.8245 (multiplicity 4)
Co: 0.0000 0.5000 0.5000 (multiplicity 2)
Cu: 0.1872 0.0000 0.2277 (multiplicity 4)

---

M_tot: 0.0; 0.0; 1.1; 0.7; 3.6; 0.0; 0.0; 0.0; 0.0; 8.0; 2.5; 0.0 (μB/cell)
DOS(E_F): 6.4; 5.2; 10.6; 11.9; 2.7; 16.6; 0.2; 9.1; 4.2; 21.4; 21.4; 21.0 (states/eV per cell)